1.
{"formula": "VBiIr3", "functional": "PBE-GGA", "state": "relaxed", "ef_mev_per_atom": 926, "crystal_system": "cubic", "space_group": "Pm-3m", "lattice": [[4.623, 0.000, 0.000], [0.000, 4.623, 0.000], [0.000, 0.000, 4.623]], "species": ["Ir", "Bi", "Ir", "V", "Ir"], "fractional_positions": [[0.000, 0.000, 0.500], [0.500, 0.500, 0.500], [0.000, 0.500, 0.000], [0.000, 0.000, 0.000], [0.500, 0.000, 0.000]]}



2.
{"formula": "KCd2In4Pb", "functional": "PBE-GGA", "state": "relaxed", "ef_mev_per_atom": -8, "crystal_system": "trigonal", "space_group": "R-3m", "lattice": [[5.210, 0.000, 0.000], [2.605, 4.512, 0.000], [2.605, 1.504, 10.390]], "species": ["In", "Pb", "In", "Cd", "In", "Cd", "In", "K"], "fractional_positions": [[0.125, 0.125, 0.625], [0.500, 0.500, 0.500], [0.875, 0.875, 0.375], [0.748, 0.748, 0.755], [0.600, 0.600, 0.200], [0.252, 0.252, 0.245], [0.400, 0.400, 0.800], [0.000, 0.000, 0.000]]}



3.
{"formula": "La3NdRu", "functional": "PBE-GGA", "state": "relaxed", "ef_mev_per_atom": -162, "crystal_system": "monoclinic", "space_group": "Cm", "lattice": [[-1.176, -1.199, 3.564], [5.125, 0.447, 4.020], [-3.546, 11.704, 4.946]], "species": ["Ru", "Ru", "La", "Nd", "La", "La", "Nd", "La", "La", "La"], "fractional_positions": [[0.420, 0.372, 0.787], [0.793, 0.288, 0.126], [0.097, 0.182, 0.623], [0.223, 0.544, 0.011], [0.990, 0.124, 0.896], [0.434, 0.979, 0.152], [0.116, 0.489, 0.279], [0.777, 0.687, 0.758], [0.431, 0.617, 0.521], [0.778, 0.055, 0.389]]}



4.
{"formula": "Ac2Ga3Pt12Rh", "functional": "PBE-GGA", "state": "relaxed", "ef_mev_per_atom": -278, "crystal_system": "trigonal", "space_group": "R-3m", "lattice": [[-7.150, 3.714, 1.513], [-3.590, -0.660, 7.341], [-0.386, 6.434, 5.066]], "species": ["Ga", "Rh", "Pt", "Pt", "Pt", "Pt", "Pt", "Pt", "Ac", "Pt", "Ga", "Ga", "Ac", "Pt", "Pt", "Pt", "Pt", "Pt"], "fractional_positions": [[0.000, 0.000, 0.500], [0.000, 0.000, 0.000], [0.619, 0.124, 0.124], [0.381, 0.876, 0.876], [0.124, 0.124, 0.619], [0.876, 0.381, 0.876], [0.122, 0.629, 0.629], [0.124, 0.619, 0.124], [0.624, 0.624, 0.624], [0.629, 0.629, 0.122], [0.000, 0.500, 0.000], [0.500, 0.000, 0.000], [0.376, 0.376, 0.376], [0.371, 0.878, 0.371], [0.876, 0.876, 0.381], [0.878, 0.371, 0.371], [0.629, 0.122, 0.629], [0.371, 0.371, 0.878]]}



5.
{"formula": "Ac2ScPd", "functional": "PBE-GGA", "state": "relaxed", "ef_mev_per_atom": 230, "crystal_system": "trigonal", "space_group": "R-3m", "lattice": [[-0.337, 0.308, -3.659], [2.006, -2.151, -2.223], [-7.669, -8.393, -1.858]], "species": ["Ac", "Ac", "Pd", "Sc"], "fractional_positions": [[0.918, 0.918, 0.246], [0.082, 0.082, 0.754], [0.000, 0.000, 0.000], [0.500, 0.500, 0.500]]}



6.
{"formula": "CdCu2GeS", "functional": "PBE-GGA", "state": "relaxed", "crystal_system": "tetragonal", "e_tot_ev_per_atom": -2.5324, "space_group": "P4/mmm", "lattice": [[4.794, 0.000, 0.000], [0.000, 5.123, 0.000], [0.000, 0.000, 4.794]], "species": ["Cu", "Ge", "Cu", "S", "Cd"], "fractional_positions": [[0.500, 0.000, 0.000], [0.000, 0.500, 0.000], [0.000, 0.000, 0.500], [0.500, 0.500, 0.500], [0.000, 0.000, 0.000]]}